Model w:
## ReHgBr2 (meta-GGA SCAN)

Data for ReHgBr2 at its PBEsol-relaxed geometry.

Computed properties:
total magnetization = 1.399 μB/cell
DOS(E_F) = 1.78 states/eV/f.u.
SG = Cm

a b c (Å): 5.4094 5.4094 6.9181
angles (deg): 113.29 113.29 33.45
With the nearest neighbours (Å) after each atom.
Sites, in units of the cell vectors:
Re1 0.0000 0.0000 0.0000  4 Br 2.53, 1 Hg 2.73
Hg1 0.7365 0.7365 0.9999  3 Re 2.73-2.90
Br1 0.3983 0.3983 0.6850  2 Re 2.53
Br2 0.5716 0.5716 0.3150  2 Re 2.53


Model x:
## ReHgBr2 (meta-GGA SCAN)

Data for ReHgBr2 at its PBEsol-relaxed geometry.

Computed properties:
total magnetization = 0.893 μB/cell
DOS(E_F) = 1.68 states/eV/f.u.
SG = Immm

a b c (Å): 6.9829 6.9829 6.9829
angles (deg): 154.70 138.97 48.82
With the nearest neighbours (Å) after each atom.
Sites, in units of the cell vectors:
Re1 0.0000 0.0000 0.0000  4 Br 2.56
Hg1 0.5000 0.5000 0.0000  4 Re 2.89, 2 Hg 3.06, 4 Br 3.19
Br1 0.1610 0.6610 0.5000  2 Re 2.56
Br2 0.8390 0.3390 0.5000  2 Re 2.56


Which structure is the most stable? The one labeled model w.


Model w:
## Al2TlSe (meta-GGA SCAN)

Data for Al2TlSe at its PBEsol-relaxed geometry.

Computed properties:
total magnetization = 0.000 μB/cell
DOS(E_F) = 1.57 states/eV/f.u.
SG = Imm2

a b c (Å): 5.7728 5.7728 5.7728
angles (deg): 145.62 126.90 64.80
With the nearest neighbours (Å) after each atom.
Sites, in units of the cell vectors:
Al1 0.0000 0.0000 0.0000  2 Se 2.52
Al2 0.7631 0.2631 0.5000  2 Al 2.87, 4 Se 3.17
Tl1 0.4781 0.4781 0.0000  8 Al 3.10-3.32, 4 Se 3.28-3.31, 2 Tl 3.41
Se1 0.1902 0.6902 0.5000  2 Al 2.52


Model x:
## Al2TlSe (meta-GGA SCAN)

Data for Al2TlSe at its PBEsol-relaxed geometry.

Computed properties:
total magnetization = 0.000 μB/cell
DOS(E_F) = 1.78 states/eV/f.u.
SG = I-42d

a b c (Å): 7.2312 7.2312 7.2312
angles (deg): 129.90 129.90 73.57
With the nearest neighbours (Å) after each atom.
Sites, in units of the cell vectors:
Al1 0.1077 0.6250 0.9827  2 Se 2.54, 2 Tl 2.67
Al2 0.3750 0.3577 0.4827  2 Se 2.54, 2 Tl 2.67
Al3 0.6423 0.1250 0.0173  2 Se 2.54, 2 Tl 2.67
Al4 0.8750 0.8923 0.5173  2 Se 2.54, 2 Tl 2.67
Tl1 0.2500 0.7500 0.5000  4 Al 2.67
Tl2 0.5000 0.5000 0.0000  4 Al 2.67
Se1 0.0000 0.0000 0.0000  4 Al 2.54
Se2 0.7500 0.2500 0.5000  4 Al 2.54


Which structure is the most stable? The one labeled model x.


Model w:
## TaTl2Os (meta-GGA SCAN)

Data for TaTl2Os at its PBEsol-relaxed geometry.

Computed properties:
total magnetization = 0.000 μB/cell
DOS(E_F) = 2.89 states/eV/f.u.
SG = P4mm

a b c (Å): 3.1211 3.1211 8.5825
angles (deg): 90.00 90.00 90.00
With the nearest neighbours (Å) after each atom.
Sites, in units of the cell vectors:
Ta1 0.0000 0.0000 0.0000  4 Os 2.59
Tl1 0.0000 0.0000 0.5858  4 Os 3.11, 4 Tl 3.12
Tl2 0.5000 0.5000 0.2610  4 Tl 3.12, 4 Ta 3.14
Os1 0.5000 0.5000 0.8412  4 Ta 2.59


Model x:
## TaTl2Os (meta-GGA SCAN)

Data for TaTl2Os at its PBEsol-relaxed geometry.

Computed properties:
total magnetization = 0.000 μB/cell
DOS(E_F) = 4.09 states/eV/f.u.
SG = F-43m

a b c (Å): 4.7543 4.7543 4.7543
angles (deg): 60.00 60.00 60.00
With the nearest neighbours (Å) after each atom.
Sites, in units of the cell vectors:
Ta1 0.0000 0.0000 0.0000  4 Tl 2.91, 4 Os 2.91
Tl1 0.2500 0.2500 0.2500  4 Tl 2.91, 4 Ta 2.91
Tl2 0.5000 0.5000 0.5000  4 Tl 2.91, 4 Os 2.91
Os1 0.7500 0.7500 0.7500  4 Ta 2.91, 4 Tl 2.91


Which structure is the most stable? The one labeled model w.


Model w:
## SiHg2Pb (meta-GGA SCAN)

Data for SiHg2Pb at its PBEsol-relaxed geometry.

Computed properties:
total magnetization = 0.000 μB/cell
DOS(E_F) = 1.66 states/eV/f.u.
SG = P4/mmm

a b c (Å): 4.2691 4.2691 5.0058
angles (deg): 90.00 90.00 90.00
With the nearest neighbours (Å) after each atom.
Sites, in units of the cell vectors:
Si1 0.0000 0.0000 0.0000  4 Pb 3.02, 8 Hg 3.29
Hg1 0.0000 0.5000 0.5000  4 Hg 3.02, 4 Pb 3.29, 4 Si 3.29
Hg2 0.5000 0.0000 0.5000  4 Hg 3.02, 4 Pb 3.29, 4 Si 3.29
Pb1 0.5000 0.5000 0.0000  4 Si 3.02, 8 Hg 3.29


Model x:
## SiHg2Pb (meta-GGA SCAN)

Data for SiHg2Pb at its PBEsol-relaxed geometry.

Computed properties:
total magnetization = 0.000 μB/cell
DOS(E_F) = 1.48 states/eV/f.u.
SG = Cm

a b c (Å): 4.1841 4.1841 6.8694
angles (deg): 108.38 108.38 60.54
With the nearest neighbours (Å) after each atom.
Sites, in units of the cell vectors:
Si1 0.0000 0.0000 0.0000  3 Hg 2.65, 3 Pb 2.90-2.91
Hg1 0.2779 0.2779 0.8327  3 Si 2.65
Hg2 0.5216 0.5216 0.5636  3 Hg 2.97-2.98, 3 Pb 3.13-3.16
Pb1 0.7529 0.7529 0.2513  3 Si 2.90-2.91, 3 Hg 3.13-3.16


Which structure is the most stable? The one labeled model x.


Model w:
## Fe2RhW (meta-GGA SCAN)

Data for Fe2RhW at its PBEsol-relaxed geometry.

Computed properties:
total magnetization = 4.457 μB/cell
DOS(E_F) = 3.70 states/eV/f.u.
SG = Pmmm

a b c (Å): 2.6290 3.5231 5.2889
angles (deg): 90.00 90.00 90.00
With the nearest neighbours (Å) after each atom.
Sites, in units of the cell vectors:
Fe1 0.0000 0.0000 0.2401  4 Rh 2.54, 4 Fe 2.54-2.75, 4 W 2.59
Fe2 0.0000 0.0000 0.7599  4 Rh 2.54, 4 Fe 2.54-2.75, 4 W 2.59
Rh1 0.5000 0.5000 0.0000  8 Fe 2.54, 2 Rh 2.63, 2 W 2.64
W1 0.5000 0.5000 0.5000  8 Fe 2.59, 2 W 2.63, 2 Rh 2.64


Model x:
## Fe2RhW (meta-GGA SCAN)

Data for Fe2RhW at its PBEsol-relaxed geometry.

Computed properties:
total magnetization = 3.986 μB/cell
DOS(E_F) = 3.42 states/eV/f.u.
SG = Cmmm

a b c (Å): 4.4019 4.4019 2.6415
angles (deg): 90.00 90.00 106.91
With the nearest neighbours (Å) after each atom.
Sites, in units of the cell vectors:
Fe1 0.0000 0.5000 0.0000  4 W 2.57, 4 Rh 2.57, 4 Fe 2.62-2.64
Fe2 0.5000 0.0000 0.0000  4 W 2.57, 4 Rh 2.57, 4 Fe 2.62-2.64
Rh1 0.0000 0.0000 0.5000  8 Fe 2.57, 2 W 2.62, 2 Rh 2.64
W1 0.5000 0.5000 0.5000  8 Fe 2.57, 2 Rh 2.62, 2 W 2.64


Which structure is the most stable? The one labeled model w.